Pm2ThHg5 after structural relaxation, computed with PBE.

magnetization = 0.27 μB/cell
calculated total energy = -2.665 eV per atom
energy of formation = -2.9 eV/f.u.
space group = I4/mmm

Cell and atoms, written as POSCAR:
```
Pm2ThHg5
1.0
5.291 0.000 0.000
0.000 5.291 0.000
0.000 0.000 15.088
Pm Th Hg
4 2 10
Direct
0.000 0.000 0.233
0.000 0.000 0.767
0.500 0.500 0.267
0.500 0.500 0.733
0.000 0.000 0.500
0.500 0.500 0.000
0.000 0.000 0.000
0.000 0.500 0.123
0.000 0.500 0.377
0.000 0.500 0.623
0.000 0.500 0.877
0.500 0.000 0.123
0.500 0.000 0.377
0.500 0.000 0.623
0.500 0.000 0.877
0.500 0.500 0.500
```



CsIn3Cl8 after structural relaxation, computed with PBE.

uncorrected formation energy = -1.22 eV per atom
magnetization = 0.00 μB/cell
calculated total energy = -3.207 eV per atom
space group = P-3m1

Cell and atoms, written as POSCAR:
```
CsIn3Cl8
1.0
7.749 0.000 0.000
-3.875 6.711 0.000
0.000 0.000 10.391
Cs In Cl
1 3 8
Direct
0.000 0.000 0.000
0.000 0.000 0.500
0.333 0.667 0.796
0.667 0.333 0.204
0.164 0.329 0.719
0.164 0.836 0.719
0.329 0.164 0.281
0.333 0.667 0.025
0.667 0.333 0.975
0.671 0.836 0.719
0.836 0.164 0.281
0.836 0.671 0.281
```